! Dy5Tl8Cd (PBE, optimized geometry); values from VASP
! Space-group type: No. 82
! Spin magnetization: 0.000 μB per cell
! Fermi-level density of states: 10.39 states/eV per cell
! Energy relative to the elements: -0.159 eV/atom
&SYSTEM
  ibrav = 0, nat = 14, ntyp = 3
/
ATOMIC_SPECIES
Dy 162.50 Dy.upf
Tl 204.38 Tl.upf
Cd 112.41 Cd.upf
CELL_PARAMETERS angstrom
-4.679 4.679 4.527
4.679 -4.679 4.527
4.679 4.679 -4.527
ATOMIC_POSITIONS crystal
Dy 0.000 0.000 0.000
Dy 0.084 0.243 0.608
Dy 0.524 0.916 0.160
Dy 0.636 0.476 0.392
Dy 0.757 0.364 0.840
Tl 0.076 0.658 0.772
Tl 0.239 0.473 0.102
Tl 0.342 0.114 0.418
Tl 0.372 0.137 0.898
Tl 0.527 0.628 0.765
Tl 0.696 0.924 0.582
Tl 0.863 0.761 0.235
Tl 0.886 0.304 0.228
Cd 0.250 0.750 0.500